MnFeCl2 PBE optimized geometry; total magnetization = 7.25 μB per formula unit; uncorrected energy = -4.75 eV per atom; formation energy from raw total energies = 2.32 eV/f.u.; excess energy over the best structure of this formula in the dataset = 939 meV per atom
1.0
4.6230 0.0000 0.0000
2.3115 4.0036 0.0000
2.3115 1.3345 3.7746
Fe Cl Mn
1 2 1
Direct
0.5000 0.5000 0.5000
0.0000 0.0000 0.0000
0.2500 0.2500 0.2500
0.7500 0.7500 0.7500